4
Lattice="5.506 0.000 0.000 2.753 4.768 0.000 2.753 1.589 4.495" Properties=species:S:1:pos:R:3 comment="GGA-PBE TbEuHoIn, optimized geometry" m_tot_mub_per_cell=7.5 pbc="T T T"
Eu 5.506 3.179 2.248
Tb 2.753 1.589 1.124
Ho 8.259 4.768 3.372
In 0.000 0.000 0.000



4
Lattice="-0.906 0.985 -5.365 -4.301 -2.354 -2.555 -4.318 3.084 -1.554" Properties=species:S:1:pos:R:3 comment="GGA-PBE EuHoThIn, optimized geometry" m_tot_mub_per_cell=7.8 pbc="T T T"
Eu -7.144 1.285 -7.106
Ho 0.000 0.000 0.000
Th -4.763 0.857 -4.737
In -2.381 0.428 -2.369



Taking the records one at a time from the top gives E values of -22.69; -25.06 eV per cell.